Material: La6ErSe8
Method: DFT, PBE
State: optimized geometry

a b c (Å): 12.132 12.132 12.132
angles (deg): 90.00 90.00 90.00
Space group Fm-3m (No. 225)
Inequivalent atoms, fractional coordinates:
La  0.000  0.250  0.250 [24 per cell]
Er  0.000  0.000  0.000 [4 per cell]
Se  0.000  0.000  0.239 [24 per cell]
Se  0.250  0.250  0.250 [8 per cell]

D(E_F), states/eV per cell: 33.9
Size of the total moment, μB per atom: 0.000
Raw formation energy, eV per atom: -1.991
Total energy, eV for the cell shown: -367.47